Computed, not measured: an optimized crystal structure of MnZnAs3 at the GGA-PBE level of DFT.

## Properties
Spin magnetization ... 0.63 μB/cell
D(E_F) ... 3.085 states/eV per cell
Energy of formation ... 407 meV/atom

a = 4.636 Å, b = 4.636 Å, c = 4.636 Å
α = 90.00°, β = 90.00°, γ = 90.00°
Space group Pm-3m (No. 221)
Symmetry-distinct sites (fractional):
Mn1 0.000 0.000 0.000 (multiplicity 1)
Zn1 0.500 0.500 0.500 (multiplicity 1)
As1 0.000 0.000 0.500 (multiplicity 3)